Entry from the Alexandria database: a geometry-optimized Re2OsPb structure (GGA-PBEsol).

## Properties
The size of the total moment is 0.0 μB per cell. Its space group is No. 44. The calculation puts the final energy at -0.3565 hartree per atom. The volume is 16.1 A^3/atom. The formation enthalpy at 0 K comes out at 1.0182 eV per atom.

Structure (extended XYZ):
```
4
Lattice="3.0727 0.0000 0.0000 0.0000 4.6317 0.0000 -1.5364 -2.3159 4.5304" Properties=species:S:1:pos:R:3 pbc="T T T"
Re 1.5364 0.0000 2.2296
Os 1.5364 2.3159 0.0335
Re 0.0000 0.0000 0.0027
Pb 0.0000 2.3159 2.2646
```